The following is a PBE calculation of a relaxed structure of K2Na9Au3, from Alexandria via LeMat-Bulk.

Output
For the total energy, the calculation gives -1.871 eV/atom. The crystal system is monoclinic. The formation energy comes out at -163.8 meV per atom.

a b c (Å): 16.542 9.094 12.863
angles (deg): 90.00 116.53 90.00
Space group C2/c (No. 15)
Unique sites:
K1 0.186 0.064 0.247 x8
Na1 0.000 0.314 0.250 x4
Na2 0.059 0.064 0.926 x8
Na3 0.091 0.404 0.031 x8
Na4 0.106 0.319 0.752 x8
Na5 0.226 0.412 0.442 x8
Au1 0.094 0.247 0.518 x8
Au2 0.250 0.250 0.000 x4